Computed, not measured: a relaxed SbPd4Rh crystal at the PBE level of DFT. Values from VASP.

```
&SYSTEM
  ibrav = 0, nat = 12, ntyp = 3
/
ATOMIC_SPECIES
Sb 121.76 Sb.upf
Pd 106.42 Pd.upf
Rh 102.91 Rh.upf
CELL_PARAMETERS angstrom
0.000 4.667 7.728
2.731 0.000 7.728
2.731 4.667 0.000
ATOMIC_POSITIONS crystal
Sb 0.125 0.125 0.125
Sb 0.875 0.875 0.875
Pd 0.029 0.539 0.220
Pd 0.220 0.712 0.029
Pd 0.288 0.780 0.461
Pd 0.461 0.971 0.288
Pd 0.539 0.029 0.712
Pd 0.712 0.220 0.539
Pd 0.780 0.288 0.971
Pd 0.971 0.461 0.780
Rh 0.375 0.375 0.375
Rh 0.625 0.625 0.625
```

Output
The raw formation energy comes out at -0.170 eV per atom. The space group is Fddd.

Computed, not measured: a relaxed Sb2PdRh crystal at the PBE level of DFT. Values from VASP.

```
&SYSTEM
  ibrav = 0, nat = 4, ntyp = 3
/
ATOMIC_SPECIES
Sb 121.76 Sb.upf
Pd 106.42 Pd.upf
Rh 102.91 Rh.upf
CELL_PARAMETERS angstrom
0.000 3.356 3.356
3.356 0.000 3.356
3.356 3.356 0.000
ATOMIC_POSITIONS crystal
Sb 0.250 0.250 0.250
Sb 0.750 0.750 0.750
Pd 0.000 0.000 0.000
Rh 0.500 0.500 0.500
```

Output
The raw formation energy comes out at -0.204 eV per atom. The space group is Fm-3m.

Computed, not measured: a relaxed Sb4Pd2Rh crystal at the PBE level of DFT. Values from VASP.

```
&SYSTEM
  ibrav = 0, nat = 7, ntyp = 3
/
ATOMIC_SPECIES
Sb 121.76 Sb.upf
Pd 106.42 Pd.upf
Rh 102.91 Rh.upf
CELL_PARAMETERS angstrom
-2.559 2.559 6.647
2.559 -2.559 6.647
2.559 2.559 -6.647
ATOMIC_POSITIONS crystal
Sb 0.000 0.500 0.500
Sb 0.206 0.206 0.000
Sb 0.500 0.000 0.500
Sb 0.794 0.794 0.000
Pd 0.397 0.397 0.000
Pd 0.603 0.603 0.000
Rh 0.000 0.000 0.000
```

Output
The raw formation energy comes out at 0.071 eV per atom. The space group is I4/mmm.

Computed, not measured: a relaxed Sb8Pd2Rh crystal at the PBE level of DFT. Values from VASP.

```
&SYSTEM
  ibrav = 0, nat = 11, ntyp = 3
/
ATOMIC_SPECIES
Sb 121.76 Sb.upf
Pd 106.42 Pd.upf
Rh 102.91 Rh.upf
CELL_PARAMETERS angstrom
4.948 0.000 0.000
-0.253 8.482 0.000
-1.475 -4.271 7.266
ATOMIC_POSITIONS crystal
Sb 0.114 0.093 0.196
Sb 0.266 0.617 0.811
Sb 0.290 0.214 0.855
Sb 0.358 0.668 0.322
Sb 0.642 0.332 0.678
Sb 0.710 0.786 0.145
Sb 0.734 0.383 0.189
Sb 0.886 0.907 0.804
Pd 0.345 0.845 0.673
Pd 0.655 0.155 0.327
Rh 0.000 0.500 0.000
```

Output
The raw formation energy comes out at -0.072 eV per atom. The space group is P-1.

Computed, not measured: a relaxed Sb2PdRh crystal at the PBE level of DFT. Values from VASP.

```
&SYSTEM
  ibrav = 0, nat = 8, ntyp = 3
/
ATOMIC_SPECIES
Sb 121.76 Sb.upf
Pd 106.42 Pd.upf
Rh 102.91 Rh.upf
CELL_PARAMETERS angstrom
-3.200 3.200 4.991
3.200 -3.200 4.991
3.200 3.200 -4.991
ATOMIC_POSITIONS crystal
Sb 0.116 0.625 0.991
Sb 0.375 0.366 0.491
Sb 0.634 0.125 0.009
Sb 0.875 0.884 0.509
Pd 0.250 0.750 0.500
Pd 0.500 0.500 0.000
Rh 0.000 0.000 0.000
Rh 0.750 0.250 0.500
```

Output
The raw formation energy comes out at -0.068 eV per atom. The space group is I-42d.

Computed, not measured: a relaxed SbPd2Rh crystal at the PBE level of DFT. Values from VASP.

```
&SYSTEM
  ibrav = 0, nat = 8, ntyp = 3
/
ATOMIC_SPECIES
Sb 121.76 Sb.upf
Pd 106.42 Pd.upf
Rh 102.91 Rh.upf
CELL_PARAMETERS angstrom
-1.915 1.915 9.615
1.915 -1.915 9.615
1.915 1.915 -9.615
ATOMIC_POSITIONS crystal
Sb 0.000 0.000 0.000
Sb 0.750 0.250 0.500
Pd 0.128 0.625 0.003
Pd 0.375 0.378 0.503
Pd 0.622 0.125 0.997
Pd 0.875 0.872 0.497
Rh 0.250 0.750 0.500
Rh 0.500 0.500 0.000
```

Output
The raw formation energy comes out at -0.087 eV per atom. The space group is I-42d.

One value per record, in order, for V: 16.4; 18.9; 24.9; 27.7; 25.5; 17.6 Å³/atom.
One value per record, in order, for ρ: 11.0; 9.9; 7.7; 7.0; 7.4; 10.3 g/cm³.